LaAg2WF | GGA+U | relaxed

- Energy: -3.972 eV per atom
- ΔE to the lowest computed polymorph: 0.0000 eV per atom

Lattice parameters (Å, degrees): 5.2782 5.2782 4.2147 90.00 90.00 90.00
Sites, in units of the cell vectors:
La1 0.0000 0.0000 0.0000
Ag1 0.0000 0.5000 0.5000
Ag2 0.5000 0.0000 0.5000
W1 0.5000 0.5000 0.0000
F1 0.5000 0.5000 0.5000